Ce4CoO10 after structural relaxation. Source: Alexandria via LeMat-Bulk, functional PBE with a Hubbard U.

abc: 15.125 15.125 15.125
angles: 14.58 14.58 14.58
Fractional positions:
Ce  0.106  0.106  0.106
Ce  0.298  0.298  0.298
Ce  0.702  0.702  0.702
Ce  0.894  0.894  0.894
Co  0.500  0.500  0.500
O  0.053  0.053  0.053
O  0.160  0.160  0.160
O  0.245  0.245  0.245
O  0.351  0.351  0.351
O  0.457  0.457  0.457
O  0.543  0.543  0.543
O  0.649  0.649  0.649
O  0.755  0.755  0.755
O  0.840  0.840  0.840
O  0.947  0.947  0.947

**E_tot**: -8.019 eV per atom
**Space group**: R-3m, No. 166